Record 1
## CaCd2Se (PBE)

Data for crystalline CaCd2Se at its relaxed geometry.

## Properties
* total magnetic moment: 0.0 μB/f.u.
* crystal system: tetragonal
* E_tot: -2.55 eV/atom
* formation energy (no corrections): -0.72 eV per atom

Cell: 4.136 4.136 6.288 Å, 90.00 90.00 90.00°
Fractional positions:
Ca 0.000 0.000 0.000
Cd 0.000 0.500 0.500
Cd 0.500 0.000 0.500
Se 0.500 0.500 0.000

Record 2
## CaCd2Se4 (PBE)

Data for crystalline CaCd2Se4 at its relaxed geometry.

## Properties
* total magnetic moment: 0.0 μB/f.u.
* crystal system: tetragonal
* E_tot: -2.91 eV/atom
* formation energy (no corrections): -0.37 eV per atom

Cell: 8.236 8.236 8.236 Å, 141.73 141.73 55.24°
Fractional positions:
Ca 0.000 0.000 0.000
Cd 0.401 0.401 0.000
Cd 0.599 0.599 0.000
Se 0.000 0.500 0.500
Se 0.228 0.228 0.000
Se 0.500 0.000 0.500
Se 0.772 0.772 0.000

Record 3
## CaCd2Se (PBE)

Data for crystalline CaCd2Se at its relaxed geometry.

## Properties
* total magnetic moment: 0.0 μB/f.u.
* crystal system: orthorhombic
* E_tot: -2.57 eV/atom
* formation energy (no corrections): -0.74 eV per atom

Cell: 7.040 7.026 4.119 Å, 73.16 72.79 34.05°
Fractional positions:
Ca 0.000 0.000 0.000
Cd 0.000 0.500 0.000
Cd 0.500 0.000 0.500
Se 0.500 0.500 0.500

Record 4
## CaCd2Se (PBE)

Data for crystalline CaCd2Se at its relaxed geometry.

## Properties
* total magnetic moment: 0.0 μB/f.u.
* crystal system: tetragonal
* E_tot: -2.21 eV/atom
* formation energy (no corrections): -0.38 eV per atom

Cell: 3.785 3.785 7.121 Å, 90.00 90.00 90.00°
Fractional positions:
Ca 0.000 0.000 0.000
Cd 0.500 0.500 0.286
Cd 0.500 0.500 0.714
Se 0.000 0.000 0.500